[1]
Material: Cr2P3O11
Method: DFT, meta-GGA SCAN
State: PBEsol geometry

## Properties
ΔE_f (raw) in kJ/mol of formula units: -3734
Calculated total energy in Ha/atom: -0.402
DOS(E_F) in states/eV/atom: 0.23

Cell lengths 11.421, 8.338, 8.677 Å; angles 90.00, 113.75, 90.00 degrees
Space group C2/c (No. 15)
Asymmetric unit:
Cr (0.127, 0.238, 0.039) x8
P (0.000, 0.043, 0.250) x4
P (0.109, 0.436, 0.709) x8
O (0.000, 0.478, 0.250) x4
O (0.043, 0.322, 0.563) x8
O (0.078, 0.057, 0.905) x8
O (0.096, 0.149, 0.213) x8
O (0.186, 0.433, 0.173) x8
O (0.191, 0.341, 0.872) x8

---

[2]
Material: Cr2P5O16
Method: DFT, meta-GGA SCAN
State: PBEsol geometry

## Properties
ΔE_f (raw) in kJ/mol of formula units: -5328
Calculated total energy in Ha/atom: -0.389
DOS(E_F) in states/eV/atom: 0.34

Cell lengths 4.979, 6.662, 18.690 Å; angles 90.00, 91.19, 90.00 degrees
Space group P2/c (No. 13)
Asymmetric unit:
Cr (0.247, 0.180, 0.407) x4
P (0.000, 0.263, 0.250) x2
P (0.244, 0.124, 0.575) x4
P (0.263, 0.460, 0.131) x4
O (0.044, 0.047, 0.929) x4
O (0.060, 0.355, 0.083) x4
O (0.149, 0.143, 0.306) x4
O (0.206, 0.413, 0.213) x4
O (0.225, 0.306, 0.632) x4
O (0.338, 0.217, 0.505) x4
O (0.440, 0.022, 0.110) x4
O (0.445, 0.419, 0.383) x4

---

[3]
Material: CrP2O6
Method: DFT, meta-GGA SCAN
State: PBEsol geometry

## Properties
ΔE_f (raw) in kJ/mol of formula units: -2016
Calculated total energy in Ha/atom: -0.398

Cell lengths 9.674, 8.803, 5.041 Å; angles 90.00, 100.95, 90.00 degrees
Space group C2/c (No. 15)
Asymmetric unit:
Cr (0.000, 0.108, 0.250) x4
P (0.210, 0.413, 0.231) x8
O (0.133, 0.068, 0.710) x8
O (0.142, 0.495, 0.952) x8
O (0.152, 0.255, 0.219) x8

---

[4]
Material: CrP3O9
Method: DFT, meta-GGA SCAN
State: PBEsol geometry

## Properties
ΔE_f (raw) in kJ/mol of formula units: -3071
Calculated total energy in Ha/atom: -0.389
DOS(E_F) in states/eV/atom: 0.00

Cell lengths 13.066, 19.003, 9.369 Å; angles 90.00, 126.93, 90.00 degrees
Space group Cc (No. 9)
Asymmetric unit:
Cr (0.000, 0.080, 0.000) x4
Cr (0.002, 0.412, 0.004) x4
Cr (0.481, 0.255, 0.969) x4
P (0.124, 0.196, 0.303) x4
P (0.127, 0.136, 0.809) x4
P (0.143, 0.473, 0.837) x4
P (0.226, 0.353, 0.712) x4
P (0.251, 0.316, 0.255) x4
P (0.265, 0.017, 0.773) x4
P (0.350, 0.137, 0.657) x4
P (0.355, 0.198, 0.158) x4
P (0.368, 0.468, 0.682) x4
O (0.010, 0.212, 0.299) x4
O (0.023, 0.110, 0.820) x4
O (0.044, 0.466, 0.868) x4
O (0.087, 0.170, 0.640) x4
O (0.096, 0.164, 0.136) x4
O (0.126, 0.468, 0.217) x4
O (0.128, 0.306, 0.562) x4
O (0.134, 0.340, 0.078) x4
O (0.153, 0.400, 0.763) x4
O (0.155, 0.021, 0.117) x4
O (0.213, 0.264, 0.351) x4
O (0.217, 0.146, 0.467) x4
O (0.218, 0.189, 0.970) x4
O (0.222, 0.073, 0.854) x4
O (0.270, 0.405, 0.625) x4
O (0.282, 0.477, 0.023) x4
O (0.332, 0.061, 0.704) x4
O (0.335, 0.271, 0.219) x4
O (0.338, 0.320, 0.880) x4
O (0.339, 0.369, 0.391) x4
O (0.360, 0.188, 0.788) x4
O (0.368, 0.022, 0.436) x4
O (0.377, 0.141, 0.284) x4
O (0.402, 0.498, 0.854) x4
O (0.457, 0.209, 0.134) x4
O (0.458, 0.138, 0.642) x4
O (0.479, 0.447, 0.683) x4

---

[5]
Material: CrP3O9
Method: DFT, meta-GGA SCAN
State: PBEsol geometry

## Properties
ΔE_f (raw) in kJ/mol of formula units: -3068
Calculated total energy in Ha/atom: -0.389
DOS(E_F) in states/eV/atom: 0.00

Cell lengths 6.236, 15.286, 8.333 Å; angles 90.00, 105.78, 90.00 degrees
Space group P2_1/c (No. 14)
Asymmetric unit:
Cr (0.117, 0.137, 0.376) x4
P (0.148, 0.044, 0.719) x4
P (0.205, 0.161, 0.016) x4
P (0.413, 0.613, 0.209) x4
O (0.055, 0.012, 0.341) x4
O (0.065, 0.153, 0.135) x4
O (0.158, 0.075, 0.904) x4
O (0.170, 0.123, 0.617) x4
O (0.180, 0.238, 0.903) x4
O (0.197, 0.660, 0.144) x4
O (0.371, 0.513, 0.253) x4
O (0.432, 0.114, 0.400) x4
O (0.465, 0.152, 0.111) x4

---

[6]
Material: CrPO4
Method: DFT, meta-GGA SCAN
State: PBEsol geometry

## Properties
ΔE_f (raw) in kJ/mol of formula units: -1468
Calculated total energy in Ha/atom: -0.422
DOS(E_F) in states/eV/atom: 0.00

Cell lengths 10.387, 12.922, 6.294 Å; angles 90.00, 90.00, 90.00 degrees
Space group Imma (No. 74)
Asymmetric unit:
Cr (0.000, 0.000, 0.000) x4
Cr (0.250, 0.134, 0.250) x8
P (0.000, 0.250, 0.081) x4
P (0.250, 0.073, 0.750) x8
O (0.000, 0.150, 0.954) x8
O (0.124, 0.250, 0.227) x8
O (0.138, 0.010, 0.215) x16
O (0.223, 0.137, 0.554) x16

---

[7]
Material: CrPO4
Method: DFT, meta-GGA SCAN
State: PBEsol geometry

## Properties
ΔE_f (raw) in kJ/mol of formula units: -1427
Calculated total energy in Ha/atom: -0.420
DOS(E_F) in states/eV/atom: 0.00

Cell lengths 5.473, 11.322, 9.432 Å; angles 90.00, 90.60, 90.00 degrees
Space group P2_1/c (No. 14)
Asymmetric unit:
Cr (0.142, 0.102, 0.244) x4
Cr (0.355, 0.614, 0.494) x4
P (0.089, 0.132, 0.906) x4
P (0.411, 0.623, 0.161) x4
O (0.014, 0.658, 0.440) x4
O (0.132, 0.239, 0.819) x4
O (0.133, 0.558, 0.653) x4
O (0.167, 0.559, 0.175) x4
O (0.326, 0.056, 0.925) x4
O (0.369, 0.049, 0.389) x4
O (0.385, 0.736, 0.075) x4
O (0.484, 0.153, 0.182) x4

---

[8]
Material: CrP2O7
Method: DFT, meta-GGA SCAN
State: PBEsol geometry

## Properties
ΔE_f (raw) in kJ/mol of formula units: -2229
Calculated total energy in Ha/atom: -0.389
DOS(E_F) in states/eV/atom: 0.23

Cell lengths 6.746, 7.835, 9.240 Å; angles 90.00, 108.37, 90.00 degrees
Space group P2_1/c (No. 14)
Asymmetric unit:
Cr (0.221, 0.228, 0.007) x4
P (0.033, 0.592, 0.295) x4
P (0.435, 0.032, 0.795) x4
O (0.018, 0.238, 0.111) x4
O (0.031, 0.081, 0.870) x4
O (0.106, 0.094, 0.371) x4
O (0.269, 0.618, 0.293) x4
O (0.353, 0.054, 0.153) x4
O (0.391, 0.104, 0.635) x4
O (0.415, 0.173, 0.906) x4

---

[9]
Material: CrPO4
Method: DFT, meta-GGA SCAN
State: PBEsol geometry

## Properties
ΔE_f (raw) in kJ/mol of formula units: -1452
Calculated total energy in Ha/atom: -0.421
DOS(E_F) in states/eV/atom: 0.00

Cell lengths 9.749, 5.586, 4.679 Å; angles 90.00, 90.00, 90.00 degrees
Space group Pnma (No. 62)
Asymmetric unit:
Cr (0.231, 0.250, 0.047) x4
P (0.088, 0.750, 0.108) x4
O (0.063, 0.250, 0.823) x4
O (0.111, 0.750, 0.788) x4
O (0.167, 0.537, 0.264) x8